No. 1
The following is a DFT calculation (PBE) of BeIr2PdW after structural relaxation.

The structure in POSCAR format:
```
BeIr2PdW
1.0
4.110 0.000 0.000
0.000 4.110 0.000
0.000 0.000 4.256
Be Ir Pd W
1 2 1 1
Direct
0.000 0.000 0.000
0.000 0.500 0.000
0.500 0.000 0.000
0.500 0.500 0.500
0.000 0.000 0.500
```

Results
formation enthalpy at 0 K = 0.518 eV per atom



No. 2
The following is a DFT calculation (PBE) of SrLa3Cl after structural relaxation.

The structure in POSCAR format:
```
SrLa3Cl
1.0
6.077 0.000 0.000
0.000 6.077 0.000
0.000 0.000 6.077
Sr La Cl
1 3 1
Direct
0.000 0.000 0.000
0.000 0.000 0.500
0.000 0.500 0.000
0.500 0.000 0.000
0.500 0.500 0.500
```

Results
energy relative to the lowest polymorph listed for this composition = 616 kJ/mol of formula units
uncorrected formation energy = 0.730 eV per atom



No. 3
The following is a DFT calculation (PBE) of SrCaCu2 after structural relaxation.

The structure in POSCAR format:
```
SrCaCu2
1.0
4.332 0.000 0.000
0.000 4.332 0.000
0.000 0.000 6.107
Sr Ca Cu
1 1 2
Direct
0.000 0.000 0.000
0.500 0.500 0.505
0.000 0.000 0.499
0.500 0.500 0.007
```

Results
energy relative to the lowest polymorph listed for this composition = 89 kJ/mol of formula units
formation enthalpy at 0 K = 0.122 eV per atom



No. 4
The following is a DFT calculation (PBE) of SmMgSi after structural relaxation.

The structure in POSCAR format:
```
SmMgSi
1.0
4.239 0.000 0.000
0.000 4.239 0.000
0.000 0.000 7.566
Sm Mg Si
2 2 2
Direct
0.250 0.250 0.147
0.750 0.750 0.853
0.250 0.750 0.500
0.750 0.250 0.500
0.250 0.250 0.742
0.750 0.750 0.258
```

Results
uncorrected formation energy = -0.491 eV per atom



No. 5
The following is a DFT calculation (PBE) of PmLuSc after structural relaxation.

The structure in POSCAR format:
```
PmLuSc
1.0
5.426 0.000 0.000
-2.713 4.699 0.000
0.000 0.000 3.409
Pm Lu Sc
1 1 1
Direct
0.000 0.000 0.000
0.667 0.333 0.500
0.333 0.667 0.000
```

Results
energy relative to the lowest polymorph listed for this composition = 8 kJ/mol of formula units
formation enthalpy at 0 K = 0.080 eV per atom



No. 6
The following is a DFT calculation (PBE) of MnInSi2 after structural relaxation.

The structure in POSCAR format:
```
MnInSi2
1.0
2.685 0.000 0.000
0.000 4.685 0.000
0.000 0.000 10.687
Mn In Si
2 2 4
Direct
0.000 0.000 0.000
0.500 0.500 0.500
0.000 0.000 0.500
0.500 0.500 0.000
0.000 0.500 0.304
0.000 0.500 0.696
0.500 0.000 0.196
0.500 0.000 0.804
```

Results
uncorrected formation energy = 0.286 eV per atom



Calculated DOS at the Fermi energy in order - 4.547, 16.700, 3.437, 4.761, 5.570, 4.638 states/eV/cell